(1)
This record from Alexandria via LeMat-Bulk describes Tl2MoRu after structural relaxation. The functional is PBE-GGA.

The structure belongs to space group P4mm (No. 99); the cell edges are 3.094, 3.094 and 8.744 Å and the angles 90.00°, 90.00° and 90.00°. The asymmetric unit holds Tl at (0.000, 0.000, 0.000), Tl at (0.500, 0.500, 0.335), Mo at (0.000, 0.000, 0.591) and Ru at (0.500, 0.500, 0.745).

The crystal system is tetragonal. As for the formation energy: 0.36 eV/atom. As for the electronic total energy: -23.39 eV for the cell shown. The calculated volume comes out at 20.92 Å³ per atom.

(2)
This record from Alexandria via LeMat-Bulk describes Hf6BiB after structural relaxation. The functional is PBE-GGA.

The structure belongs to space group R-3m (No. 166, hexagonal axes); the cell edges are 8.9371, 8.9371 and 7.4873 Å and the angles 90.00°, 90.00° and 120.00°. The asymmetric unit holds Hf at (0.0726, 0.5363, 0.3134), Bi at (0.0000, 0.0000, 0.0000) and B at (0.0000, 0.0000, 0.5000).

The crystal system is trigonal. As for the formation energy: -0.13 eV/atom. As for the electronic total energy: -213.88 eV for the cell shown. The calculated volume comes out at 21.58 Å³ per atom.

(3)
This record from Alexandria via LeMat-Bulk describes TmCo6C after structural relaxation. The functional is PBE-GGA.

The structure belongs to space group R-3m (No. 166, hexagonal axes); the cell edges are 5.2233, 5.2233 and 12.5890 Å and the angles 90.00°, 90.00° and 120.00°. The asymmetric unit holds Tm at (0.0000, 0.0000, 0.0000), Co at (0.0267, 0.5134, 0.9101) and C at (0.0000, 0.0000, 0.5000).

The crystal system is trigonal. As for the formation energy: 0.09 eV/atom. As for the electronic total energy: -166.84 eV for the cell shown. The calculated volume comes out at 12.39 Å³ per atom.